# 1
PaIrPdRh: optimized geometry, GGA-PBE.

a b c (Å): 3.975 4.158 4.149
angles (deg): 90.00 90.00 90.00
Atoms (fractional coordinates):
Pa 0.500 0.500 0.000
Ir 0.000 0.000 0.000
Pd 0.500 0.000 0.500
Rh 0.000 0.500 0.500

Results
DOS at the Fermi energy   0.777 states/eV/atom
V   68.6 Å³ per cell
Final energy   -8.58 eV/atom
SG   Pmmm, No. 47
Formation energy   -857 meV/atom


# 2
ScPaIrPd: optimized geometry, GGA-PBE.

a b c (Å): 4.811 4.811 4.811
angles (deg): 60.00 60.00 60.00
Atoms (fractional coordinates):
Sc 0.000 0.000 0.000
Pa 0.500 0.500 0.500
Pd 0.250 0.250 0.250
Ir 0.750 0.750 0.750

Results
DOS at the Fermi energy   1.525 states/eV/atom
V   78.8 Å³ per cell
Final energy   -8.15 eV/atom
SG   F-43m, No. 216
Formation energy   -683 meV/atom